No. 1
Computed, not measured: crystalline FeMoW at its relaxed geometry at the PBE level of DFT.

Results
As for the total DFT energy (no corrections): -10.106 eV/atom. The density of states at the Fermi level is 1.25 states/eV/atom. The volume comes out at 47.9 Å³ per cell. The calculated formation energy is 0.643 eV/atom. The relative energy among the computed polymorphs is 0.5694 eV/atom.

Cell lengths 4.0771, 4.0771, 4.0771 Å; angles 60.00, 60.00, 60.00 degrees
Last column: nearest neighbours and their distance in Å.
Atoms (fractional coordinates):
Fe1 0.0000 0.0000 0.0000  4 W 2.50, 4 Mo 2.50
Mo1 0.2500 0.2500 0.2500  4 Fe 2.50
W1 0.7500 0.7500 0.7500  4 Fe 2.50

=====

No. 2
Computed, not measured: crystalline LuZn4Re at its relaxed geometry at the PBE level of DFT.

Results
As for the total DFT energy (no corrections): -3.751 eV/atom. The density of states at the Fermi level is 0.90 states/eV/atom. The volume comes out at 93.0 Å³ per cell. The calculated formation energy is -0.074 eV/atom.

Cell lengths 5.0849, 5.0849, 5.0849 Å; angles 60.00, 60.00, 60.00 degrees
Last column: nearest neighbours and their distance in Å.
Atoms (fractional coordinates):
Lu1 0.0000 0.0000 0.0000  12 Zn 2.98, 4 Re 3.11
Zn1 0.1283 0.6239 0.6239  6 Zn 2.52-2.56
Zn2 0.6239 0.1283 0.6239  6 Zn 2.52-2.56
Zn3 0.6239 0.6239 0.1283  6 Zn 2.52-2.56
Zn4 0.6239 0.6239 0.6239  6 Zn 2.52-2.56
Re1 0.2500 0.2500 0.2500  12 Zn 2.98, 4 Lu 3.11

=====

No. 3
Computed, not measured: crystalline MgAlInNi2 at its relaxed geometry at the PBE level of DFT.

Results
As for the total DFT energy (no corrections): -3.434 eV/atom. The density of states at the Fermi level is 0.56 states/eV/atom. The volume comes out at 98.2 Å³ per cell. The calculated formation energy is 0.494 eV/atom.

Cell lengths 4.4469, 4.4469, 4.9678 Å; angles 90.00, 90.00, 90.00 degrees
Last column: nearest neighbours and their distance in Å.
Atoms (fractional coordinates):
Mg1 0.0000 0.0000 0.0000  4 In 3.14, 8 Ni 3.33
Al1 0.5000 0.5000 0.5000  4 Ni 2.22, 2 In 2.48
In1 0.5000 0.5000 0.0000  2 Al 2.48
Ni1 0.0000 0.5000 0.5000  2 Al 2.22
Ni2 0.5000 0.0000 0.5000  2 Al 2.22

=====

No. 4
Computed, not measured: crystalline LiBeV at its relaxed geometry at the PBE level of DFT.

Results
As for the total DFT energy (no corrections): -4.740 eV/atom. The density of states at the Fermi level is 0.58 states/eV/atom. The volume comes out at 75.2 Å³ per cell. The calculated formation energy is 0.179 eV/atom. The relative energy among the computed polymorphs is 0.0386 eV/atom.

Cell lengths 2.5498, 3.3901, 8.7040 Å; angles 90.00, 90.05, 90.00 degrees
Last column: nearest neighbours and their distance in Å.
Atoms (fractional coordinates):
Li1 0.0000 0.0000 0.0000  6 Li 2.55-2.76, 4 V 2.82
Li2 0.4979 0.5000 0.2018  6 Li 2.55-2.76, 4 Be 2.57-2.58, 1 V 2.65
Be1 0.9963 0.0000 0.3693  3 Be 2.40-2.55, 4 V 2.43, 4 Li 2.57-2.58
Be2 0.9974 0.0000 0.6453  3 Be 2.40-2.55, 8 V 2.44-2.46
V1 0.4967 0.5000 0.5059  8 Be 2.43-2.44, 3 V 2.45-2.55, 1 Li 2.65
V2 0.4987 0.5000 0.7872  3 V 2.45-2.55, 4 Be 2.45-2.46

=====

No. 5
Computed, not measured: crystalline RbLaTiRu2 at its relaxed geometry at the PBE level of DFT.

Results
As for the total DFT energy (no corrections): -4.788 eV/atom. The density of states at the Fermi level is 1.62 states/eV/atom. The volume comes out at 134.8 Å³ per cell. The calculated formation energy is 1.680 eV/atom.

Cell lengths 4.8920, 4.8920, 5.6324 Å; angles 90.00, 90.00, 90.00 degrees
Last column: nearest neighbours and their distance in Å.
Atoms (fractional coordinates):
Rb1 0.0000 0.0000 0.0000  2 La 2.82
La1 0.0000 0.0000 0.5000  4 Ru 2.45
Ti1 0.5000 0.5000 0.0000  4 Rb 3.46, 8 Ru 3.73
Ru1 0.0000 0.5000 0.5000  2 La 2.45
Ru2 0.5000 0.0000 0.5000  2 La 2.45

=====

No. 6
Computed, not measured: crystalline NbCo2Sn2 at its relaxed geometry at the PBE level of DFT.

Results
As for the total DFT energy (no corrections): -6.378 eV/atom. The density of states at the Fermi level is 0.96 states/eV/atom. The volume comes out at 160.8 Å³ per cell. The calculated formation energy is 0.080 eV/atom.

Cell lengths 7.2306, 7.2306, 3.0761 Å; angles 90.00, 90.00, 90.00 degrees
Last column: nearest neighbours and their distance in Å.
Atoms (fractional coordinates):
Nb1 0.0000 0.0000 0.0000  4 Co 2.85, 2 Nb 3.08, 8 Sn 3.10
Nb2 0.5000 0.5000 0.0000  4 Co 2.85, 2 Nb 3.08, 8 Sn 3.10
Co1 0.1269 0.3731 0.0000  1 Co 2.60, 6 Sn 2.60-2.65, 2 Nb 2.85
Co2 0.3731 0.8731 0.0000  1 Co 2.60, 6 Sn 2.60-2.65, 2 Nb 2.85
Co3 0.6269 0.1269 0.0000  1 Co 2.60, 6 Sn 2.60-2.65, 2 Nb 2.85
Co4 0.8731 0.6269 0.0000  1 Co 2.60, 6 Sn 2.60-2.65, 2 Nb 2.85
Sn1 0.1684 0.6684 0.5000  6 Co 2.60-2.65
Sn2 0.3316 0.1684 0.5000  6 Co 2.60-2.65
Sn3 0.6684 0.8316 0.5000  6 Co 2.60-2.65
Sn4 0.8316 0.3316 0.5000  6 Co 2.60-2.65

=====

No. 7
Computed, not measured: crystalline TbSc2US4 at its relaxed geometry at the PBE level of DFT.

Results
As for the total DFT energy (no corrections): -7.392 eV/atom. The density of states at the Fermi level is 1.08 states/eV/atom. The volume comes out at 154.9 Å³ per cell. For the uncorrected formation energy, the calculation gives -1756 meV per atom.

Cell lengths 6.5886, 3.7590, 6.6114 Å; angles 90.00, 108.95, 90.00 degrees
Last column: nearest neighbours and their distance in Å.
Atoms (fractional coordinates):
Tb1 0.0000 0.0000 0.0000  6 S 2.75
Sc1 0.0000 0.5000 0.5000  6 S 2.62-2.63
Sc2 0.5000 0.0000 0.5000  6 S 2.62
U1 0.5000 0.5000 0.0000  6 S 2.75
S1 0.2444 0.0000 0.7323  3 Sc 2.62, 2 U 2.75, 1 Tb 2.75
S2 0.2569 0.5000 0.2675  3 Sc 2.62-2.63, 1 U 2.75, 2 Tb 2.75
S3 0.7431 0.5000 0.7325  3 Sc 2.62-2.63, 1 U 2.75, 2 Tb 2.75
S4 0.7556 0.0000 0.2677  3 Sc 2.62, 2 U 2.75, 1 Tb 2.75

=====

No. 8
Computed, not measured: crystalline Gd2PuTh at its relaxed geometry at the PBE level of DFT.

Results
As for the total DFT energy (no corrections): -12.256 eV/atom. The density of states at the Fermi level is 2.90 states/eV/atom. The volume comes out at 123.2 Å³ per cell. The calculated formation energy is 0.222 eV/atom. The relative energy among the computed polymorphs is 0.0963 eV/atom.

Cell lengths 5.8007, 5.8007, 3.6609 Å; angles 90.00, 90.00, 90.00 degrees
Last column: nearest neighbours and their distance in Å.
Atoms (fractional coordinates):
Gd1 0.0000 0.5000 0.0000  4 Th 3.43, 4 Pu 3.43, 2 Gd 3.66
Gd2 0.5000 0.0000 0.0000  4 Th 3.43, 4 Pu 3.43, 2 Gd 3.66
Pu1 0.0000 0.0000 0.5000  8 Gd 3.43, 2 Pu 3.66
Th1 0.5000 0.5000 0.5000  8 Gd 3.43, 2 Th 3.66